LuNpC after structural relaxation, computed with PBE-GGA.

a b c (Å): 3.3645 3.3645 6.1537
angles (deg): 90.00 90.00 120.00
With the nearest neighbours (Å) after each atom.
Sites, in units of the cell vectors:
1 Lu 0.0000 0.0000 0.0000  3 C 2.41
2 Np 0.3333 0.6667 0.4591  3 C 2.40
3 C 0.6667 0.3333 0.2313  3 Np 2.40, 3 Lu 2.41

Values from the calculation:
E above lowest polymorph: 0.0 kJ per mole of atoms
ΔH_f (0 K): 0.03 eV per atom
Symmetry: P3m1 (156)
Uncorrected energy: -8.868 eV/atom

***

Ca5Zn4Pd after structural relaxation, computed with PBE-GGA.

a b c (Å): 3.6334 3.6334 18.3638
angles (deg): 90.00 90.00 90.00
With the nearest neighbours (Å) after each atom.
Sites, in units of the cell vectors:
1 Ca 0.0000 0.0000 0.0000  8 Zn 3.17
2 Ca 0.0000 0.0000 0.2036  8 Zn 3.18
3 Ca 0.0000 0.0000 0.4073  4 Pd 3.08, 4 Zn 3.17, 1 Ca 3.40
4 Ca 0.0000 0.0000 0.5927  4 Pd 3.08, 4 Zn 3.17, 1 Ca 3.40
5 Ca 0.0000 0.0000 0.7964  8 Zn 3.18
6 Zn 0.5000 0.5000 0.1012  8 Ca 3.17-3.18
7 Zn 0.5000 0.5000 0.3060  8 Ca 3.17-3.18
8 Zn 0.5000 0.5000 0.6940  8 Ca 3.17-3.18
9 Zn 0.5000 0.5000 0.8988  8 Ca 3.17-3.18
10 Pd 0.5000 0.5000 0.5000  8 Ca 3.08

Values from the calculation:
ΔH_f (0 K): -0.32 eV per atom
Symmetry: P4/mmm (123)
Uncorrected energy: -2.350 eV/atom

***

NaAl2TlN after structural relaxation, computed with PBE-GGA.

a b c (Å): 4.1208 4.1208 4.9116
angles (deg): 90.00 90.00 90.00
With the nearest neighbours (Å) after each atom.
Sites, in units of the cell vectors:
1 Na 0.0000 0.0000 0.0000  2 N 2.46
2 Al 0.0000 0.5000 0.5000  2 N 2.06
3 Al 0.5000 0.0000 0.5000  2 N 2.06
4 Tl 0.5000 0.5000 0.0000  4 Na 2.91, 8 Al 3.21
5 N 0.0000 0.0000 0.5000  4 Al 2.06

Values from the calculation:
Symmetry: P4/mmm (123)
Formation energy (no corrections): 0.06 eV per atom
Uncorrected energy: -3.838 eV/atom

***

Sr3Tl3Rh after structural relaxation, computed with PBE-GGA.

a b c (Å): 6.5670 6.5670 17.3726
angles (deg): 105.38 105.38 38.06
With the nearest neighbours (Å) after each atom.
Sites, in units of the cell vectors:
1 Sr 0.0215 0.0215 0.3907  2 Rh 3.20, 4 Tl 3.42-3.46
2 Sr 0.1126 0.1126 0.9205  7 Tl 3.41-3.52
3 Sr 0.2409 0.2409 0.2493  2 Rh 3.19, 4 Tl 3.45-3.53
4 Sr 0.7591 0.7591 0.7507  2 Rh 3.19, 4 Tl 3.45-3.53
5 Sr 0.8874 0.8874 0.0795  7 Tl 3.41-3.52
6 Sr 0.9785 0.9785 0.6093  2 Rh 3.20, 4 Tl 3.42-3.46
7 Tl 0.3290 0.3290 0.4608  3 Rh 2.80-2.99
8 Tl 0.3870 0.3870 0.9198  2 Tl 3.25-3.35, 7 Sr 3.41-3.62
9 Tl 0.4814 0.4814 0.7633  1 Rh 2.84
10 Tl 0.5186 0.5186 0.2367  1 Rh 2.84
11 Tl 0.6130 0.6130 0.0802  2 Tl 3.25-3.35, 7 Sr 3.41-3.62
12 Tl 0.6710 0.6710 0.5392  3 Rh 2.80-2.99
13 Rh 0.2943 0.2943 0.6241  4 Tl 2.80-2.99
14 Rh 0.7057 0.7057 0.3759  4 Tl 2.80-2.99

Values from the calculation:
ΔH_f (0 K): -0.37 eV per atom
Symmetry: C2/m (12)
Uncorrected energy: -3.151 eV/atom

***

SrHgPt2Rh after structural relaxation, computed with PBE-GGA.

a b c (Å): 5.2188 5.2188 4.9848
angles (deg): 90.00 90.00 90.00
With the nearest neighbours (Å) after each atom.
Sites, in units of the cell vectors:
1 Sr 0.0000 0.0000 0.0000  2 Rh 2.49, 4 Pt 2.61
2 Hg 0.5000 0.5000 0.5000  8 Pt 3.61, 4 Rh 3.69
3 Pt 0.0000 0.5000 0.0000  2 Sr 2.61
4 Pt 0.5000 0.0000 0.0000  2 Sr 2.61
5 Rh 0.0000 0.0000 0.5000  2 Sr 2.49

Values from the calculation:
ΔH_f (0 K): 1.45 eV per atom
Symmetry: P4/mmm (123)
Uncorrected energy: -2.838 eV/atom

***

In2FeIr after structural relaxation, computed with PBE-GGA.

a b c (Å): 4.6732 4.6732 3.0995
angles (deg): 90.00 90.00 90.00
With the nearest neighbours (Å) after each atom.
Sites, in units of the cell vectors:
1 In 0.0000 0.5000 0.0000  4 Fe 2.80, 4 Ir 2.80, 2 In 3.10
2 In 0.5000 0.0000 0.0000  4 Fe 2.80, 4 Ir 2.80, 2 In 3.10
3 Fe 0.0000 0.0000 0.5000  8 In 2.80, 2 Fe 3.10
4 Ir 0.5000 0.5000 0.5000  8 In 2.80, 2 Ir 3.10

Values from the calculation:
ΔH_f (0 K): 0.15 eV per atom
Symmetry: P4/mmm (123)
Uncorrected energy: -5.549 eV/atom